# PBE with a Hubbard U NdMn3Ga4O12, optimized geometry
data_NdMn3Ga4O12
_chemical_formula_sum 'Nd1 Mn3 Ga4 O12'
_symmetry_space_group_name_H-M 'P 1'
_symmetry_Int_Tables_number 1
_symmetry_space_group_name_Hall 'P 1'
_cell_length_a 6.490
_cell_length_b 6.490
_cell_length_c 6.490
_cell_angle_alpha 109.47
_cell_angle_beta 109.47
_cell_angle_gamma 109.47
loop_
_atom_site_label
_atom_site_fract_x
_atom_site_fract_y
_atom_site_fract_z
_atom_site_occupancy
Nd1 0.000 0.000 0.000 1
Mn1 0.000 0.500 0.500 1
Mn2 0.500 0.000 0.500 1
Mn3 0.500 0.500 0.000 1
Ga1 0.000 0.000 0.500 1
Ga2 0.000 0.500 0.000 1
Ga3 0.500 0.000 0.000 1
Ga4 0.500 0.500 0.500 1
O1 0.132 0.824 0.307 1
O2 0.176 0.307 0.483 1
O3 0.176 0.693 0.868 1
O4 0.307 0.132 0.824 1
O5 0.307 0.483 0.176 1
O6 0.483 0.176 0.307 1
O7 0.517 0.824 0.693 1
O8 0.693 0.517 0.824 1
O9 0.693 0.868 0.176 1
O10 0.824 0.307 0.132 1
O11 0.824 0.693 0.517 1
O12 0.868 0.176 0.693 1
# Space group: Im-3
# E_tot (eV per atom): -6.87
# Theoretical density (g/cm³): 6.154